PBE La3Pm8Pr4, relaxed; ΔH_f (0 K) = 4.7 eV per formula unit; density of states at the Fermi level = 27.9 states/eV per cell; VASP energy = -4.478 eV/atom
1.0
6.879 -6.565 0.000
6.879 6.565 0.000
-3.548 0.000 6.030
La Pm Pr
3 8 4
Cartesian
0.000 0.000 0.000
1.666 3.282 3.015
1.666 -3.282 3.015
5.105 4.668 3.015
1.448 0.000 2.957
-0.222 0.000 5.809
6.879 3.416 0.000
6.879 -3.416 0.000
10.432 0.000 0.221
8.762 0.000 3.073
5.105 -4.668 3.015
3.439 3.282 0.000
3.439 -3.282 0.000
6.879 0.000 0.000
5.105 0.000 3.015



PBE La14PmPr, relaxed; ΔH_f (0 K) = 1.2 eV per formula unit; density of states at the Fermi level = 27.4 states/eV per cell; VASP energy = -4.830 eV/atom
1.0
12.115 0.000 0.000
0.000 5.973 4.004
0.000 -5.973 4.004
La Pm Pr
14 1 1
Cartesian
0.000 0.000 0.000
0.000 0.000 3.486
0.000 -2.648 6.073
0.000 2.648 6.073
3.020 -3.345 4.388
3.015 0.000 2.368
3.020 3.345 4.388
3.091 0.000 5.913
6.057 -2.678 6.085
6.057 2.678 6.085
9.023 0.000 5.913
9.095 -3.345 4.388
9.100 0.000 2.368
9.095 3.345 4.388
6.057 0.000 0.162
6.057 0.000 3.581



PBE La3PmPr, relaxed; ΔH_f (0 K) = 0.6 eV per formula unit; energy relative to the lowest polymorph listed for this composition = 0.00 kJ per mole of atoms; density of states at the Fermi level = 15.8 states/eV per cell; VASP energy = -4.740 eV/atom
1.0
6.688 0.000 0.000
-3.331 5.813 0.000
-0.085 -3.708 9.337
La Pm Pr
6 2 2
Cartesian
-1.061 0.934 2.916
0.247 -1.237 6.422
1.688 0.948 0.362
1.584 1.157 8.975
3.024 3.342 2.914
4.333 1.171 6.421
-0.299 4.393 2.928
3.571 -2.288 6.408
-1.666 2.906 0.000
1.636 1.052 4.668



PBE LaPm4Pr7, relaxed; ΔH_f (0 K) = 0.1 eV per formula unit; energy relative to the lowest polymorph listed for this composition = 0.00 kJ per mole of atoms; density of states at the Fermi level = 19.1 states/eV per cell; VASP energy = -4.771 eV/atom
1.0
6.466 0.000 0.000
-0.002 7.432 0.000
-2.150 -0.002 8.971
La Pm Pr
1 4 7
Cartesian
0.000 0.000 0.000
-0.021 3.716 5.983
1.088 5.558 2.984
3.226 1.873 5.987
4.334 3.714 2.988
-0.001 3.716 0.000
-0.002 0.002 5.983
1.093 1.868 2.994
1.082 1.869 8.966
3.231 5.562 0.005
3.221 5.563 5.977
4.315 7.428 2.987



PBE La2Pm2Pr, relaxed; ΔH_f (0 K) = 0.1 eV per formula unit; energy relative to the lowest polymorph listed for this composition = 0.00 kJ per mole of atoms; density of states at the Fermi level = 36.4 states/eV per cell; VASP energy = -4.812 eV/atom
1.0
15.251 0.000 0.000
0.000 7.385 0.000
-0.920 0.000 6.358
La Pm Pr
8 8 4
Cartesian
15.018 0.920 1.592
14.558 2.772 4.771
-0.227 4.612 1.587
-0.687 6.465 4.766
6.055 0.921 0.321
5.595 2.772 3.500
8.736 4.613 2.858
8.276 6.464 6.037
2.461 0.927 4.128
2.921 2.765 0.949
6.061 4.618 0.322
5.601 6.459 3.501
8.730 0.925 2.857
8.270 2.767 6.036
11.410 4.619 5.409
11.870 6.457 2.230
2.462 4.613 4.141
2.922 6.464 0.962
11.409 0.921 5.396
11.869 2.771 2.217



PBE La3Pm3Pr2, relaxed; ΔH_f (0 K) = 0.1 eV per formula unit; density of states at the Fermi level = 14.1 states/eV per cell; VASP energy = -4.810 eV/atom
1.0
-2.612 2.617 10.478
2.612 -2.617 10.478
2.612 2.617 -10.478
La Pm Pr
3 3 2
Cartesian
0.000 0.000 0.000
2.612 0.000 7.887
0.000 2.617 2.591
2.612 0.000 2.636
0.000 0.000 10.478
0.000 2.617 7.842
0.000 0.000 5.223
0.000 0.000 15.734